(1)
Density functional theory data (PBE-GGA) for crystalline Ca2Pr3Sm2 at its relaxed geometry.

Cell and atoms, written as POSCAR:
```
Ca2Pr3Sm2
1.0
11.731 0.000 0.000
0.000 5.244 0.000
-1.230 0.000 8.351
Ca Pr Sm
4 6 4
Cartesian
1.145 0.000 3.572 Ca
3.490 2.622 4.779 Ca
7.011 2.622 3.572 Ca
9.355 0.000 4.779 Ca
0.000 0.000 0.000 Pr
-0.064 2.622 6.112 Pr
4.699 0.000 2.239 Pr
5.865 2.622 0.000 Pr
5.801 0.000 6.112 Pr
10.565 2.622 2.239 Pr
2.373 2.622 1.092 Sm
2.262 0.000 7.259 Sm
8.239 0.000 1.092 Sm
8.127 2.622 7.259 Sm
```

Summary:
ΔE_f = 51 meV/atom

---

(2)
Density functional theory data (PBE-GGA) for crystalline Ca2PrSm5 at its relaxed geometry.

Cell and atoms, written as POSCAR:
```
Ca2PrSm5
1.0
5.211 0.000 0.000
0.000 5.211 0.000
0.000 0.000 21.096
Ca Pr Sm
4 2 10
Cartesian
0.000 0.000 5.271 Ca
0.000 0.000 15.825 Ca
2.606 2.606 5.277 Ca
2.606 2.606 15.819 Ca
0.000 0.000 0.000 Pr
2.606 2.606 10.548 Pr
0.000 0.000 10.548 Sm
0.000 2.606 2.482 Sm
0.000 2.606 8.067 Sm
0.000 2.606 13.030 Sm
0.000 2.606 18.615 Sm
2.606 0.000 2.482 Sm
2.606 0.000 8.067 Sm
2.606 0.000 13.030 Sm
2.606 0.000 18.615 Sm
2.606 2.606 0.000 Sm
```

Summary:
ΔE_f = 55 meV/atom

---

(3)
Density functional theory data (PBE-GGA) for crystalline CaPr3Sm12 at its relaxed geometry.

Cell and atoms, written as POSCAR:
```
CaPr3Sm12
1.0
5.176 0.000 0.000
0.000 5.176 0.000
0.000 0.000 20.665
Ca Pr Sm
1 3 12
Cartesian
0.000 0.000 0.000 Ca
0.000 0.000 5.172 Pr
0.000 0.000 10.332 Pr
0.000 0.000 15.493 Pr
0.000 2.588 2.650 Sm
0.000 2.588 7.764 Sm
0.000 2.588 12.901 Sm
0.000 2.588 18.015 Sm
2.588 0.000 2.650 Sm
2.588 0.000 7.764 Sm
2.588 0.000 12.901 Sm
2.588 0.000 18.015 Sm
2.588 2.588 0.000 Sm
2.588 2.588 5.156 Sm
2.588 2.588 10.332 Sm
2.588 2.588 15.509 Sm
```

Summary:
ΔE_f = 33 meV/atom

---

(4)
Density functional theory data (PBE-GGA) for crystalline Ca2PrSm4 at its relaxed geometry.

Cell and atoms, written as POSCAR:
```
Ca2PrSm4
1.0
3.570 0.000 0.000
0.000 5.948 0.000
0.000 0.000 23.825
Ca Pr Sm
4 2 8
Cartesian
0.000 0.000 5.265 Ca
0.000 0.000 18.560 Ca
1.785 2.974 6.648 Ca
1.785 2.974 17.177 Ca
0.000 0.000 11.912 Pr
1.785 2.974 0.000 Pr
0.000 2.974 3.125 Sm
0.000 2.974 9.988 Sm
0.000 2.974 13.837 Sm
0.000 2.974 20.699 Sm
1.785 0.000 1.925 Sm
1.785 0.000 8.787 Sm
1.785 0.000 15.038 Sm
1.785 0.000 21.900 Sm
```

Summary:
Excess energy over the best structure of this formula in the dataset = 0 meV/atom
ΔE_f = 129 meV/atom

---

(5)
Density functional theory data (PBE-GGA) for crystalline CaPr4Sm4 at its relaxed geometry.

Cell and atoms, written as POSCAR:
```
CaPr4Sm4
1.0
6.379 0.000 0.000
-1.050 9.715 0.000
-3.176 -2.473 10.317
Ca Pr Sm
2 8 8
Cartesian
0.530 3.554 2.008 Ca
1.624 3.688 8.310 Ca
-1.581 -1.627 9.992 Pr
-1.554 1.861 8.859 Pr
-1.567 5.460 7.718 Pr
-0.516 6.266 4.328 Pr
2.669 0.976 5.990 Pr
3.720 1.781 2.599 Pr
3.707 5.381 1.459 Pr
3.734 8.868 0.325 Pr
-0.567 2.717 5.452 Sm
-0.532 -0.766 6.577 Sm
0.537 -0.014 3.184 Sm
0.587 7.143 0.896 Sm
1.566 0.098 9.422 Sm
1.616 7.256 7.134 Sm
2.685 8.008 3.740 Sm
2.721 4.525 4.866 Sm
```

Summary:
ΔE_f = 35 meV/atom

---

(6)
Density functional theory data (PBE-GGA) for crystalline Ca4Pr3Sm at its relaxed geometry.

Cell and atoms, written as POSCAR:
```
Ca4Pr3Sm
1.0
5.356 0.000 0.000
0.000 10.710 0.000
0.000 0.000 10.728
Ca Pr Sm
8 6 2
Cartesian
1.339 0.007 1.435 Ca
1.339 2.678 9.304 Ca
1.339 5.348 1.435 Ca
1.339 8.033 9.283 Ca
4.017 2.678 1.445 Ca
4.017 5.362 9.293 Ca
4.017 8.033 1.424 Ca
4.017 10.703 9.293 Ca
1.339 10.708 6.561 Pr
1.339 5.357 6.561 Pr
1.339 8.033 4.170 Pr
4.017 0.002 4.167 Pr
4.017 2.678 6.558 Pr
4.017 5.353 4.167 Pr
1.339 2.678 4.169 Sm
4.017 8.033 6.559 Sm
```

Summary:
ΔE_f = 21 meV/atom

---

(7)
Density functional theory data (PBE-GGA) for crystalline Ca2Pr6Sm3 at its relaxed geometry.

Cell and atoms, written as POSCAR:
```
Ca2Pr6Sm3
1.0
1.854 1.070 33.633
-1.854 1.070 33.633
0.000 -2.140 33.633
Ca Pr Sm
2 6 3
Cartesian
0.000 0.000 4.695 Ca
0.000 0.000 96.202 Ca
0.000 0.000 13.839 Pr
0.000 0.000 32.172 Pr
0.000 0.000 41.550 Pr
0.000 0.000 59.348 Pr
0.000 0.000 68.725 Pr
0.000 0.000 87.059 Pr
0.000 0.000 22.799 Sm
0.000 0.000 50.449 Sm
0.000 0.000 78.099 Sm
```

Summary:
ΔE_f = 21 meV/atom

---

(8)
Density functional theory data (PBE-GGA) for crystalline Ca2Pr5Sm5 at its relaxed geometry.

Cell and atoms, written as POSCAR:
```
Ca2Pr5Sm5
1.0
7.841 -2.612 0.000
7.841 2.612 0.000
-5.199 0.000 10.474
Ca Pr Sm
2 5 5
Cartesian
0.010 0.000 2.610 Ca
10.473 0.000 7.864 Ca
2.669 0.000 5.195 Pr
5.167 0.000 2.602 Pr
7.841 0.000 0.000 Pr
5.316 0.000 7.872 Pr
7.813 0.000 5.280 Pr
-2.599 0.000 5.237 Sm
2.691 0.000 0.016 Sm
-0.049 0.000 7.872 Sm
10.532 0.000 2.603 Sm
7.792 0.000 10.459 Sm
```

Summary:
ΔE_f = 49 meV/atom